Entry 1:
16
Lattice="4.529 0.000 0.000 0.000 6.854 0.000 0.000 0.000 19.170" Properties=species:S:1:pos:R:3 comment="PBE Tl5S2I, relaxed" space_group=Pmmn total_energy_ev_per_cell=-48.7 formation_energy_uncorrected_ev_per_fu=-2.71 pbc="T T T"
Tl 2.264 4.099 9.585
Tl 0.000 2.754 0.000
Tl 2.264 2.110 15.349
Tl 0.000 4.744 13.406
Tl 2.264 2.110 3.821
Tl 0.000 4.744 5.764
Tl 0.000 6.431 2.622
Tl 2.264 0.423 6.962
Tl 2.264 0.423 12.207
Tl 0.000 6.431 16.547
S 0.000 3.649 16.230
S 2.264 3.204 12.525
S 2.264 3.204 6.645
S 0.000 3.649 2.940
I 2.264 6.785 0.000
I 0.000 0.068 9.585

Entry 2:
8
Lattice="7.259 0.000 0.000 0.000 7.259 0.000 3.630 3.630 2.513" Properties=species:S:1:pos:R:3 comment="PBE Ga2SiTc, relaxed" n_ef_per_ev_fu=2.10 space_group=I-42d total_energy_ev_per_cell=-40.4 formation_energy_uncorrected_ev_per_fu=1.63 pbc="T T T"
Si 3.630 3.630 0.000
Si 3.630 7.259 1.257
Tc 0.000 0.000 0.000
Tc 7.259 3.630 1.257
Ga 5.428 1.815 0.628
Ga 1.831 5.444 0.628
Ga 5.444 5.461 1.885
Ga 9.074 9.057 1.885

Entry 3:
5
Lattice="-3.276 2.416 -1.783 -0.783 -3.235 -2.944 -2.899 -1.856 2.811" Properties=species:S:1:pos:R:3 comment="PBE CoMo3Au, relaxed" n_ef_per_ev_fu=6.45 formation_energy_ev_per_fu=5.45 space_group=Pm-3m total_energy_ev_per_cell=-37.4 pbc="T T T"
Co 0.000 0.000 0.000
Mo -0.392 -1.618 -1.472
Mo -1.449 -0.928 1.405
Mo -1.638 1.208 -0.892
Au -3.479 -1.338 -0.958

Entry 4:
4
Lattice="2.933 0.020 0.000 -0.020 2.933 0.000 0.000 0.000 9.078" Properties=species:S:1:pos:R:3 comment="PBE Sc2WAu, relaxed" n_ef_per_ev_fu=4.17 formation_energy_ev_per_fu=0.24 space_group=P4mm total_energy_ev_per_cell=-28.7 pbc="T T T"
Au 1.456 1.476 6.722
Sc 0.000 0.000 8.802
Sc 1.456 1.476 2.515
W 0.000 0.000 4.656

Entry 5:
20
Lattice="-1.869 4.120 3.685 -4.679 1.101 -3.604 -4.526 -5.752 4.119" Properties=species:S:1:pos:R:3 comment="PBE HoHfPb2O6, relaxed" n_ef_per_ev_fu=6.13 space_group=P2_1/c total_energy_ev_per_cell=-150.4 formation_energy_uncorrected_ev_per_fu=-23.51 pbc="T T T"
Ho -3.197 -0.816 3.902
Ho -2.339 0.550 -1.802
Hf -0.934 2.060 1.842
Hf -4.602 -2.326 0.258
Pb -5.659 -0.342 -2.418
Pb -6.847 -1.631 3.031
Pb -5.414 -0.190 6.618
Pb -4.226 1.099 1.168
O -4.137 1.788 -1.157
O -7.742 1.068 2.430
O -6.937 -2.320 5.357
O -3.332 -1.600 1.769
O -5.801 -0.611 0.462
O -9.586 -1.289 3.911
O -5.273 0.079 3.737
O -1.488 0.757 0.288
O -5.348 2.783 2.454
O -8.706 -1.676 1.108
O -5.725 -3.315 1.746
O -2.368 1.144 3.091

Entry 6:
5
Lattice="-0.577 1.259 -4.443 0.139 -4.470 -1.285 -4.275 -0.271 0.478" Properties=species:S:1:pos:R:3 comment="PBE LaP2PdO, relaxed" n_ef_per_ev_fu=4.13 space_group=P4/mmm total_energy_ev_per_cell=-28.5 formation_energy_uncorrected_ev_per_fu=-2.60 pbc="T T T"
P 0.070 -2.235 -0.643
P -0.288 0.630 -2.221
O -2.138 -0.135 0.239
Pd 0.000 0.000 0.000
La -2.356 -1.741 -2.625

Entry 7:
9
Lattice="-6.498 2.659 -0.545 -4.784 -6.699 5.850 9.674 11.363 -0.157" Properties=species:S:1:pos:R:3 comment="PBE CsK2Rb4Au2, relaxed" n_ef_per_ev_fu=5.24 formation_energy_ev_per_fu=-1.22 space_group=P-1 total_energy_ev_per_cell=-14.7 pbc="T T T"
Cs 0.000 0.000 0.000
K -1.377 -0.832 4.173
K -0.231 8.155 0.976
Rb -6.811 -2.537 4.255
Rb -3.030 3.233 3.451
Rb 5.203 9.860 0.893
Rb 1.422 4.090 1.698
Au 1.760 10.862 1.111
Au -3.368 -3.539 4.037

Entry 8:
10
Lattice="6.340 0.000 0.000 0.000 9.059 0.229 0.000 -2.151 6.081" Properties=species:S:1:pos:R:3 comment="PBE Pr2HoErTh, relaxed" n_ef_per_ev_fu=7.11 formation_energy_ev_per_fu=1.64 space_group=P2/c total_energy_ev_per_cell=-48.9 pbc="T T T"
Pr 4.382 4.399 5.244
Pr 4.382 1.434 4.106
Pr 1.958 5.474 2.203
Pr 1.958 2.509 1.066
Ho 1.072 2.916 4.675
Ho 5.268 3.992 1.635
Er 3.232 -0.538 1.520
Er 3.107 -1.613 4.561
Th 0.000 0.000 0.000
Th 0.000 -1.076 3.040

Entry 9:
18
Lattice="-5.031 -8.573 6.487 -1.083 -3.600 -5.598 9.717 2.802 0.380" Properties=species:S:1:pos:R:3 comment="PBE Tb5Pm2Y2, relaxed" n_ef_per_ev_fu=14.00 formation_energy_ev_per_fu=1.86 space_group=Ima2 total_energy_ev_per_cell=-87.4 pbc="T T T"
Tb 6.984 -1.577 -2.022
Tb -3.829 -9.288 0.967
Tb 7.561 0.283 0.731
Tb -3.323 -7.548 3.812
Tb 0.844 -2.560 2.343
Tb 2.989 -6.049 0.111
Tb 0.137 -4.642 -0.242
Tb 3.697 -3.966 2.696
Tb 4.125 -0.991 -3.416
Tb -0.306 -7.666 5.795
Pm -0.020 -0.067 -0.104
Pm -3.077 -6.154 0.340
Pm 3.184 -2.070 -0.106
Pm 0.201 -8.029 0.243
Y 1.083 -2.824 -2.911
Y 2.399 -6.952 3.550
Y -0.900 -5.325 3.142
Y 4.382 -4.451 -2.503

Entry 10:
10
Lattice="-6.303 -0.265 3.371 0.537 -5.843 -4.090 6.374 -0.705 4.302" Properties=species:S:1:pos:R:3 comment="PBE PmHo3Zn, relaxed" n_ef_per_ev_fu=6.94 formation_energy_ev_per_fu=0.29 space_group=C2/m total_energy_ev_per_cell=-38.9 pbc="T T T"
Pm 0.620 -1.211 5.316
Pm -0.012 -5.602 -1.733
Ho -3.300 -6.143 -0.321
Ho 0.147 -2.491 0.109
Ho 0.461 -4.322 3.474
Ho -3.200 -2.968 1.452
Ho 3.908 -0.670 3.904
Ho 3.808 -3.846 2.131
Zn -1.051 -4.943 0.994
Zn 1.659 -1.870 2.589

Entry 11:
14
Lattice="-0.471 6.739 0.503 -2.993 -0.660 6.041 6.059 0.197 3.023" Properties=species:S:1:pos:R:3 comment="PBE Li3PmAg3, relaxed" n_ef_per_ev_fu=3.43 formation_energy_ev_per_fu=1.26 space_group=Pm-3n total_energy_ev_per_cell=-35.6 pbc="T T T"
Li 2.912 1.783 1.637
Li 0.018 -0.281 3.776
Li -2.480 2.874 4.782
Li 2.676 5.153 1.889
Li 3.048 -0.182 5.288
Li -0.983 3.204 1.762
Ag 2.281 -0.066 3.022
Ag 0.785 -0.396 6.042
Ag 4.309 3.517 2.519
Ag -1.849 4.724 3.398
Ag 1.279 3.419 1.007
Ag -1.614 1.355 3.146
Pm 1.298 3.138 4.783
Pm 0.000 0.000 0.000

Entry 12:
12
Lattice="-0.487 -3.857 -2.328 8.253 2.623 -1.661 3.303 -5.285 8.065" Properties=species:S:1:pos:R:3 comment="PBE CsLiPmSe3, relaxed" n_ef_per_ev_fu=2.22 space_group=Cmcm total_energy_ev_per_cell=-52.2 formation_energy_uncorrected_ev_per_fu=-8.11 pbc="T T T"
Cs 4.787 -0.978 0.619
Cs 6.282 -5.541 3.457
Li 2.541 -5.866 4.777
Li 8.528 -0.654 -0.700
Pm 1.651 -2.642 4.033
Pm 0.000 0.000 0.000
Se 1.672 -2.297 -0.953
Se 9.397 -4.222 5.029
Se 8.380 -2.594 2.546
Se 2.689 -3.925 1.530
Se 3.844 -3.845 5.567
Se 7.225 -2.674 -1.490

Entry 13:
18
Lattice="6.400 0.000 -0.155 0.000 7.339 0.000 0.073 0.000 9.628" Properties=species:S:1:pos:R:3 comment="PBE Sm6HRu2, relaxed" n_ef_per_ev_fu=7.92 space_group=P2_1/c total_energy_ev_per_cell=-105.6 pbc="T T T"
Sm 0.919 0.298 2.389
Sm 1.121 2.365 5.421
Sm 1.155 2.400 8.949
Sm 2.155 6.069 5.415
Sm 2.189 6.035 8.943
Sm 2.318 3.968 2.348
Sm 5.554 7.041 7.084
Sm 5.352 4.974 4.052
Sm 5.318 4.939 0.524
Sm 4.318 1.270 4.057
Sm 4.284 1.304 0.529
Sm 4.156 3.371 7.125
H 3.200 3.669 -0.078
H 0.037 0.000 4.814
Ru 0.383 4.514 7.121
Ru 2.927 0.844 7.243
Ru 3.546 6.495 2.230
Ru 6.090 2.825 2.351

Entry 14:
4
Lattice="4.363 0.000 0.000 0.000 4.495 0.000 0.000 0.000 4.495" Properties=species:S:1:pos:R:3 comment="PBE TmTiCd2, relaxed" n_ef_per_ev_fu=3.65 formation_energy_ev_per_fu=-0.26 space_group=P4/mmm total_energy_ev_per_cell=-14.5 pbc="T T T"
Tm 2.182 2.247 2.247
Ti 2.182 0.000 0.000
Cd 0.000 0.000 2.247
Cd 0.000 2.247 0.000

Entry 15:
14
Lattice="4.214 0.000 0.635 2.065 5.772 0.594 -0.196 0.198 15.602" Properties=species:S:1:pos:R:3 comment="PBE Ca3ZnHg3, relaxed" n_ef_per_ev_fu=4.30 formation_energy_ev_per_fu=-3.10 space_group=C2/m total_energy_ev_per_cell=-22.6 pbc="T T T"
Ca 2.785 2.159 10.120
Ca 3.298 3.811 6.710
Ca 1.558 1.446 3.962
Ca 4.525 4.525 12.868
Ca 2.080 1.887 14.802
Ca 4.004 4.083 2.029
Zn 3.329 0.411 6.504
Zn 2.754 5.559 10.326
Hg 5.041 4.445 9.445
Hg 1.042 1.525 7.385
Hg 2.056 5.060 14.961
Hg 4.028 0.910 1.869
Hg 5.748 4.654 4.755
Hg 0.336 1.316 12.076

Entry 16:
4
Lattice="3.212 0.000 0.000 0.000 3.212 0.000 0.000 0.000 7.872" Properties=species:S:1:pos:R:3 comment="PBE Hf2UTc, relaxed" n_ef_per_ev_fu=5.86 formation_energy_ev_per_fu=-0.28 space_group=P4/mmm total_energy_ev_per_cell=-41.8 pbc="T T T"
Hf 0.000 0.000 6.265
Hf 0.000 0.000 1.607
U 1.606 1.606 3.936
Tc 1.606 1.606 0.000

Entry 17:
5
Lattice="5.525 0.000 0.000 0.000 5.525 0.000 0.000 0.000 5.525" Properties=species:S:1:pos:R:3 comment="PBE La3PIr, relaxed" n_ef_per_ev_fu=7.75 formation_energy_ev_per_fu=-1.87 space_group=Pm-3m total_energy_ev_per_cell=-30.9 pbc="T T T"
P 2.763 2.763 2.763
Ir 0.000 0.000 0.000
La 0.000 2.763 0.000
La 0.000 0.000 2.763
La 2.763 0.000 0.000

Entry 18:
6
Lattice="-4.328 1.355 2.942 3.935 -3.149 1.956 2.475 4.728 -0.862" Properties=species:S:1:pos:R:3 comment="PBE Hf4AlSi, relaxed" n_ef_per_ev_fu=4.88 space_group=I422 total_energy_ev_per_cell=-52.0 formation_energy_uncorrected_ev_per_fu=-3.07 pbc="T T T"
Hf 3.809 1.523 2.261
Hf 2.404 -0.841 1.282
Hf 0.249 1.899 2.112
Hf -2.300 3.288 2.416
Al -0.197 -0.897 2.449
Si 0.000 0.000 0.000

Entry 19:
6
Lattice="0.000 3.612 3.612 3.612 0.000 3.612 3.612 3.612 0.000" Properties=species:S:1:pos:R:3 comment="PBE NiMo4Os, relaxed" n_ef_per_ev_fu=3.16 formation_energy_ev_per_fu=2.66 space_group=F-43m total_energy_ev_per_cell=-57.7 pbc="T T T"
Ni 1.806 1.806 1.806
Mo 2.719 2.719 4.505
Mo 2.719 4.505 2.719
Mo 4.505 4.505 4.505
Mo 4.505 2.719 2.719
Os 0.000 0.000 0.000

Entry 20:
4
Lattice="-1.779 2.200 -3.710 -2.335 -2.409 -3.243 -7.193 0.979 1.096" Properties=species:S:1:pos:R:3 comment="PBE NpCdBi2, relaxed" n_ef_per_ev_fu=14.22 formation_energy_ev_per_fu=0.81 space_group=R3m total_energy_ev_per_cell=-20.8 pbc="T T T"
Np -9.923 0.838 -3.547
Cd -5.695 0.393 -2.904
Bi -5.752 0.720 0.251
Bi -2.783 0.185 -1.490